A relaxed structure of VZnHRu2, computed with PBE-GGA.

Cell: 3.9536 3.9536 3.6716 Å, 90.00 90.00 90.00°
Last column: nearest neighbours and their distance in Å.
Space group P4/mmm (No. 123)
Asymmetric unit:
V 0.0000 0.0000 0.0000 (multiplicity 1)  2 H 1.84
Zn 0.5000 0.5000 0.0000 (multiplicity 1)  8 Ru 2.70, 4 V 2.80
H 0.0000 0.0000 0.5000 (multiplicity 1)  2 V 1.84, 4 Ru 1.98
Ru 0.0000 0.5000 0.5000 (multiplicity 2)  2 H 1.98

Results
DFT total energy in Ry per atom: -0.4765